# Cs2YSF6

A relaxed structure of Cs2YSF6 (PBE-GGA, Alexandria via LeMat-Bulk).

It has space group I4/mmm (No. 139), with a = 6.261 Å, b = 6.261 Å, c = 11.369 Å, α = 90.00°, β = 90.00° and γ = 90.00°. The asymmetric unit holds Cs at (0.000, 0.500, 0.250), Y at (0.000, 0.000, 0.000), S at (0.000, 0.000, 0.500), F at (0.000, 0.000, 0.191) and F at (0.247, 0.247, 0.000).

The value obtained for the total energy is -4.98 eV per atom. Its volume is 222.8 Å³/f.u. The value obtained for the formation energy (no corrections) is -253.56 kJ/mol of atoms.

***

# TbNd5In2

A relaxed structure of TbNd5In2 (PBE-GGA, Alexandria via LeMat-Bulk).

It has space group Pbam (No. 55), with a = 7.035 Å, b = 14.072 Å, c = 4.961 Å, α = 90.00°, β = 90.00° and γ = 90.00°. The asymmetric unit holds Tb at (0.000, 0.000, 0.000), Nd at (0.000, 0.500, 0.000), Nd at (0.004, 0.248, 0.000), Nd at (0.248, 0.624, 0.500) and In at (0.245, 0.877, 0.500).

The value obtained for the total energy is -4.52 eV per atom. Its volume is 245.6 Å³/f.u. The formation energy from the elements comes out at -0.274 eV/atom.

***

# La2NdDy3

A relaxed structure of La2NdDy3 (PBE-GGA, Alexandria via LeMat-Bulk).

It has space group C2/c (No. 15), with a = 17.236 Å, b = 6.967 Å, c = 7.050 Å, α = 90.00°, β = 101.65° and γ = 90.00°. The asymmetric unit holds La at (0.177, 0.013, 0.094), Nd at (0.000, 0.236, 0.750), Dy at (0.000, 0.237, 0.250) and Dy at (0.138, 0.490, 0.564).

The value obtained for the total energy is -4.60 eV per atom. Its volume is 207.3 Å³/f.u. The formation energy from the elements comes out at 0.139 eV/atom.

***

# AcZnPt3Rh

A relaxed structure of AcZnPt3Rh (PBE-GGA, Alexandria via LeMat-Bulk).

It has space group Cmcm (No. 63), with a = 6.866 Å, b = 12.301 Å, c = 5.678 Å, α = 90.00°, β = 90.00° and γ = 90.00°. The asymmetric unit holds Ac at (0.000, 0.215, 0.250), Zn at (0.000, 0.141, 0.750), Pt at (0.000, 0.346, 0.750), Pt at (0.197, 0.000, 0.000) and Rh at (0.000, 0.436, 0.250).

The value obtained for the total energy is -5.57 eV per atom. Its volume is 119.9 Å³/f.u. The formation energy from the elements comes out at -0.428 eV/atom.

***

# Be2CdPb

A relaxed structure of Be2CdPb (PBE-GGA, Alexandria via LeMat-Bulk).

It has space group Pmmm (No. 47), with a = 2.993 Å, b = 3.838 Å, c = 6.440 Å, α = 90.00°, β = 90.00° and γ = 90.00°. The asymmetric unit holds Be at (0.000, 0.000, 0.180), Cd at (0.500, 0.500, 0.000) and Pb at (0.500, 0.500, 0.500).

The value obtained for the total energy is -2.36 eV per atom. Its volume is 74.0 Å³/f.u. For the distance to the lowest polymorph of the same formula, the calculation gives 254.1 meV per atom. The formation energy from the elements comes out at 0.658 eV/atom.

***

# Na3Er2TmS6

A relaxed structure of Na3Er2TmS6 (PBE-GGA, Alexandria via LeMat-Bulk).

It has space group C2/m (No. 12), with a = 6.829 Å, b = 11.828 Å, c = 7.054 Å, α = 90.00°, β = 108.83° and γ = 90.00°. The asymmetric unit holds Na at (0.000, 0.000, 0.000), Na at (0.000, 0.333, 0.000), Er at (0.000, 0.167, 0.500), Tm at (0.000, 0.500, 0.500), S at (0.241, 0.334, 0.725) and S at (0.243, 0.000, 0.725).

The value obtained for the total energy is -5.38 eV per atom. Its volume is 269.7 Å³/f.u. The value obtained for the formation energy (no corrections) is -178.98 kJ/mol of atoms.